one | ## SrYCu2 (PBE-GGA)

Data for an optimized crystal structure of SrYCu2. Values from VASP.

Quantum ESPRESSO input file:
```
&SYSTEM
  ibrav = 0, nat = 4, ntyp = 3
/
ATOMIC_SPECIES
Y 88.91 Y.upf
Cu 63.55 Cu.upf
Sr 87.62 Sr.upf
ATOMIC_POSITIONS angstrom
Y 6.019 -1.001 5.111
Cu 4.350 1.053 6.393
Cu 4.065 0.585 3.591
Sr 2.001 -1.522 1.903
CELL_PARAMETERS angstrom
-0.015 -3.564 0.597
3.639 -0.076 -0.360
4.396 1.117 6.776
```

## Properties
space-group type: P2/m (10)
calculated volume: 96 Å³ per cell


two | ## SrYCu2 (PBE-GGA)

Data for an optimized crystal structure of SrYCu2. Values from VASP.

Quantum ESPRESSO input file:
```
&SYSTEM
  ibrav = 0, nat = 4, ntyp = 3
/
ATOMIC_SPECIES
Sr 87.62 Sr.upf
Cu 63.55 Cu.upf
Y 88.91 Y.upf
ATOMIC_POSITIONS angstrom
Sr 0.000 0.000 3.460
Cu 1.775 1.738 1.433
Cu 0.000 0.000 0.361
Y 1.775 1.738 6.635
CELL_PARAMETERS angstrom
3.515 -0.038 0.000
0.036 3.515 0.000
0.000 0.000 7.926
```

## Properties
space-group type: P4mm (99)
calculated volume: 98 Å³ per cell


three | ## SrYCu2 (PBE-GGA)

Data for an optimized crystal structure of SrYCu2. Values from VASP.

Quantum ESPRESSO input file:
```
&SYSTEM
  ibrav = 0, nat = 4, ntyp = 3
/
ATOMIC_SPECIES
Cu 63.55 Cu.upf
Y 88.91 Y.upf
Sr 87.62 Sr.upf
ATOMIC_POSITIONS angstrom
Cu -0.989 4.500 2.585
Cu -3.088 0.818 1.910
Y -3.652 3.385 3.384
Sr -0.427 1.942 1.116
CELL_PARAMETERS angstrom
-3.901 0.090 -1.649
-1.448 -2.217 3.305
-1.123 5.109 2.935
```

## Properties
space-group type: P4mm (99)
calculated volume: 108 Å³ per cell


Energies in eV/atom, measured from the most stable structure: one 0.000; two 0.148; three 0.225.


one | ## SrYCu2 (PBE-GGA)

Data for an optimized crystal structure of SrYCu2. Values from VASP.

Quantum ESPRESSO input file:
```
&SYSTEM
  ibrav = 0, nat = 4, ntyp = 3
/
ATOMIC_SPECIES
Sr 87.62 Sr.upf
Cu 63.55 Cu.upf
Y 88.91 Y.upf
ATOMIC_POSITIONS angstrom
Sr -4.862 3.023 1.943
Cu 0.000 0.000 0.000
Cu -2.431 1.511 0.972
Y -7.293 4.534 2.915
CELL_PARAMETERS angstrom
-1.879 4.482 0.868
-4.794 0.864 -0.799
-3.051 0.700 3.817
```

## Properties
space-group type: F-43m (216)
calculated volume: 85 Å³ per cell


two | ## SrYCu2 (PBE-GGA)

Data for an optimized crystal structure of SrYCu2. Values from VASP.

Quantum ESPRESSO input file:
```
&SYSTEM
  ibrav = 0, nat = 8, ntyp = 3
/
ATOMIC_SPECIES
Cu 63.55 Cu.upf
Y 88.91 Y.upf
Sr 87.62 Sr.upf
ATOMIC_POSITIONS angstrom
Cu -6.134 0.669 1.655
Cu -7.236 -2.815 3.530
Cu -12.500 -5.143 4.061
Cu -3.839 -4.619 1.224
Y 0.000 0.000 0.000
Y -8.386 -0.419 2.808
Sr -6.470 -5.535 2.426
Sr -5.092 -1.946 0.523
CELL_PARAMETERS angstrom
-7.008 3.170 0.905
-3.176 -7.062 0.141
-4.671 -2.062 4.189
```

## Properties
space-group type: I-42d (122)
calculated volume: 221 Å³ per cell


Energies in eV/atom, measured from the most stable structure: one 0.008; two 0.000.


one | ## Sr3YCu (PBE-GGA)

Data for an optimized crystal structure of Sr3YCu. Values from VASP.

Quantum ESPRESSO input file:
```
&SYSTEM
  ibrav = 0, nat = 5, ntyp = 3
/
ATOMIC_SPECIES
Sr 87.62 Sr.upf
Cu 63.55 Cu.upf
Y 88.91 Y.upf
ATOMIC_POSITIONS angstrom
Sr 0.000 3.274 0.000
Sr 3.274 0.000 0.000
Sr 0.000 0.000 3.274
Cu 3.274 3.274 3.274
Y 0.000 0.000 0.000
CELL_PARAMETERS angstrom
6.547 0.000 0.000
0.000 6.547 0.000
0.000 0.000 6.547
```

## Properties
space-group type: Pm-3m (221)
calculated volume: 281 Å³ per cell


two | ## Sr3YCu (PBE-GGA)

Data for an optimized crystal structure of Sr3YCu. Values from VASP.

Quantum ESPRESSO input file:
```
&SYSTEM
  ibrav = 0, nat = 5, ntyp = 3
/
ATOMIC_SPECIES
Sr 87.62 Sr.upf
Cu 63.55 Cu.upf
Y 88.91 Y.upf
ATOMIC_POSITIONS angstrom
Sr 1.342 2.657 -0.001
Sr -1.442 0.730 2.499
Sr 2.231 -1.126 1.616
Cu 0.000 0.000 0.000
Y 2.131 2.260 4.115
CELL_PARAMETERS angstrom
-2.885 1.459 4.999
4.462 -2.253 3.233
2.684 5.314 -0.002
```

## Properties
space-group type: Pm-3m (221)
calculated volume: 211 Å³ per cell


Energies in eV/atom, measured from the most stable structure: one 0.843; two 0.000.


one | ## Sr2Zn5Cu3 (PBE-GGA)

Data for an optimized crystal structure of Sr2Zn5Cu3. Values from VASP.

Quantum ESPRESSO input file:
```
&SYSTEM
  ibrav = 0, nat = 20, ntyp = 3
/
ATOMIC_SPECIES
Zn 65.41 Zn.upf
Sr 87.62 Sr.upf
Cu 63.55 Cu.upf
ATOMIC_POSITIONS angstrom
Zn -3.640 -2.338 3.821
Zn -3.603 -2.017 6.645
Zn -6.061 -3.838 6.884
Zn -7.903 -3.322 11.554
Zn -3.566 -1.696 9.468
Zn -6.023 -3.517 9.707
Zn -4.095 -3.299 11.501
Zn -1.761 -2.533 1.975
Zn -6.098 -4.158 4.061
Zn -5.568 -2.556 2.028
Sr -6.470 -0.951 4.973
Sr -0.777 -3.439 5.180
Sr -3.193 -4.904 8.555
Sr -8.886 -2.416 8.348
Cu -6.404 -5.736 8.580
Cu -3.260 -0.119 4.948
Cu -3.686 -2.731 0.359
Cu -5.678 -1.609 8.102
Cu -3.985 -4.246 5.427
Cu -1.229 -0.910 0.120
CELL_PARAMETERS angstrom
-4.915 -3.641 0.479
0.671 -5.162 6.945
-5.420 2.949 6.105
```

## Properties
space-group type: Ibam (72)
calculated volume: 395 Å³ per cell


two | ## Sr2Zn5Cu3 (PBE-GGA)

Data for an optimized crystal structure of Sr2Zn5Cu3. Values from VASP.

Quantum ESPRESSO input file:
```
&SYSTEM
  ibrav = 0, nat = 10, ntyp = 3
/
ATOMIC_SPECIES
Sr 87.62 Sr.upf
Cu 63.55 Cu.upf
Zn 65.41 Zn.upf
ATOMIC_POSITIONS angstrom
Sr 2.211 0.000 2.636
Sr 0.000 2.211 7.485
Cu 0.000 0.000 5.061
Cu 0.000 2.211 3.876
Cu 2.211 0.000 6.245
Zn 2.211 0.000 8.754
Zn 2.211 2.211 5.061
Zn 2.211 2.211 0.000
Zn 0.000 2.211 1.368
Zn 0.000 0.000 0.000
CELL_PARAMETERS angstrom
4.423 0.000 0.000
0.000 4.423 0.000
0.000 0.000 10.121
```

## Properties
space-group type: P-4m2 (115)
calculated volume: 198 Å³ per cell


Energies in eV/atom, measured from the most stable structure: one 0.000; two 0.013.


one | ## Sr3Zn4Cu4 (PBE-GGA)

Data for an optimized crystal structure of Sr3Zn4Cu4. Values from VASP.

Quantum ESPRESSO input file:
```
&SYSTEM
  ibrav = 0, nat = 11, ntyp = 3
/
ATOMIC_SPECIES
Cu 63.55 Cu.upf
Zn 65.41 Zn.upf
Sr 87.62 Sr.upf
ATOMIC_POSITIONS angstrom
Cu 4.291 2.187 7.753
Cu 2.149 2.177 1.258
Cu 4.294 4.378 11.580
Cu 2.152 4.368 5.085
Zn 2.154 4.364 2.556
Zn 4.289 2.190 10.282
Zn 2.138 2.190 6.428
Zn 4.305 4.365 6.410
Sr 2.141 4.372 9.007
Sr 4.302 2.182 3.832
Sr 2.135 2.185 12.832
CELL_PARAMETERS angstrom
4.307 0.001 0.000
0.000 4.369 0.007
2.135 2.185 12.832
```

## Properties
space-group type: P-1 (2)
calculated volume: 241 Å³ per cell


two | ## Sr3Zn4Cu4 (PBE-GGA)

Data for an optimized crystal structure of Sr3Zn4Cu4. Values from VASP.

Quantum ESPRESSO input file:
```
&SYSTEM
  ibrav = 0, nat = 11, ntyp = 3
/
ATOMIC_SPECIES
Cu 63.55 Cu.upf
Sr 87.62 Sr.upf
Zn 65.41 Zn.upf
ATOMIC_POSITIONS angstrom
Cu -2.688 2.195 4.295
Cu -1.437 2.280 8.471
Cu 1.168 2.915 6.153
Cu 2.419 3.000 10.329
Sr 1.102 8.214 11.596
Sr 0.740 5.200 8.464
Sr -1.009 -0.005 6.161
Zn 1.064 1.901 8.468
Zn -1.332 3.294 6.157
Zn -1.666 0.366 2.913
Zn 1.397 4.829 11.712
CELL_PARAMETERS angstrom
-3.401 2.533 0.971
-1.371 -3.019 3.029
4.503 5.681 10.625
```

## Properties
space-group type: P-1 (2)
calculated volume: 245 Å³ per cell


Energies in eV/atom, measured from the most stable structure: one 0.000; two 0.009.


one | ## Sr2Zn4Cu5 (PBE-GGA)

Data for an optimized crystal structure of Sr2Zn4Cu5. Values from VASP.

Quantum ESPRESSO input file:
```
&SYSTEM
  ibrav = 0, nat = 11, ntyp = 3
/
ATOMIC_SPECIES
Sr 87.62 Sr.upf
Zn 65.41 Zn.upf
Cu 63.55 Cu.upf
ATOMIC_POSITIONS angstrom
Sr 5.060 2.356 2.827
Sr 1.213 3.012 4.994
Zn 4.765 2.210 9.262
Zn 4.975 2.375 6.005
Zn 1.691 0.358 3.310
Zn 1.481 0.193 6.566
Cu 3.013 1.938 7.496
Cu 0.091 -1.400 2.375
Cu -0.338 -0.092 4.796
Cu 3.442 0.630 5.076
Cu -0.429 1.309 2.420
CELL_PARAMETERS angstrom
-0.858 2.617 4.841
0.182 -2.800 4.750
7.131 2.751 2.980
```

## Properties
space-group type: Fmmm (69)
calculated volume: 205 Å³ per cell


two | ## Sr2Zn4Cu5 (PBE-GGA)

Data for an optimized crystal structure of Sr2Zn4Cu5. Values from VASP.

Quantum ESPRESSO input file:
```
&SYSTEM
  ibrav = 0, nat = 11, ntyp = 3
/
ATOMIC_SPECIES
Zn 65.41 Zn.upf
Cu 63.55 Cu.upf
Sr 87.62 Sr.upf
ATOMIC_POSITIONS angstrom
Zn 7.672 7.555 5.058
Zn 7.672 5.116 5.578
Zn 2.557 3.108 0.521
Zn 2.557 0.670 1.042
Cu 3.813 5.193 1.025
Cu 6.417 5.193 1.025
Cu 3.813 3.031 5.075
Cu 2.557 4.112 3.050
Cu 6.417 3.031 5.075
Sr 5.115 6.067 3.857
Sr 5.115 2.157 2.242
CELL_PARAMETERS angstrom
5.115 0.000 0.000
2.557 6.679 -0.125
2.557 1.546 6.224
```

## Properties
space-group type: C2/m (12)
calculated volume: 214 Å³ per cell


Energies in eV/atom, measured from the most stable structure: one 0.000; two 0.084.


one | ## SrZn4Cu (PBE-GGA)

Data for an optimized crystal structure of SrZn4Cu. Values from VASP.

Quantum ESPRESSO input file:
```
&SYSTEM
  ibrav = 0, nat = 6, ntyp = 3
/
ATOMIC_SPECIES
Zn 65.41 Zn.upf
Sr 87.62 Sr.upf
Cu 63.55 Cu.upf
ATOMIC_POSITIONS angstrom
Zn 2.313 0.000 3.469
Zn 2.313 2.313 1.189
Zn 0.000 2.313 3.469
Zn 2.313 2.313 5.748
Sr 0.000 0.000 0.000
Cu 2.313 2.313 3.469
CELL_PARAMETERS angstrom
4.626 0.000 0.000
0.000 4.626 0.000
0.000 0.000 6.937
```

## Properties
space-group type: P4/mmm (123)
calculated volume: 148 Å³ per cell


two | ## SrZn4Cu (PBE-GGA)

Data for an optimized crystal structure of SrZn4Cu. Values from VASP.

Quantum ESPRESSO input file:
```
&SYSTEM
  ibrav = 0, nat = 6, ntyp = 3
/
ATOMIC_SPECIES
Sr 87.62 Sr.upf
Cu 63.55 Cu.upf
Zn 65.41 Zn.upf
ATOMIC_POSITIONS angstrom
Sr 0.000 0.000 0.000
Cu -9.324 1.757 2.837
Zn -6.259 1.405 3.503
Zn -6.772 2.503 1.135
Zn -7.152 -0.104 1.503
Zn -4.683 0.883 1.425
CELL_PARAMETERS angstrom
-3.194 1.059 4.212
-4.235 3.284 -0.587
-5.004 -2.000 0.158
```

## Properties
space-group type: F-43m (216)
calculated volume: 111 Å³ per cell


Energies in eV/atom, measured from the most stable structure: one 0.095; two 0.000.


one | ## SrZn9Cu2 (PBE-GGA)

Data for an optimized crystal structure of SrZn9Cu2. Values from VASP.

Quantum ESPRESSO input file:
```
&SYSTEM
  ibrav = 0, nat = 24, ntyp = 3
/
ATOMIC_SPECIES
Zn 65.41 Zn.upf
Cu 63.55 Cu.upf
Sr 87.62 Sr.upf
ATOMIC_POSITIONS angstrom
Zn -4.173 -2.301 -3.837
Zn -5.318 -2.616 -1.515
Zn -2.936 -3.423 -0.449
Zn -3.543 -8.520 -4.370
Zn -1.791 -3.108 -2.770
Zn 0.000 0.000 0.000
Zn -4.689 -8.835 -2.049
Zn -7.109 -5.724 -4.286
Zn -7.466 -7.802 -6.209
Zn -2.164 -6.437 -5.466
Zn -5.182 -4.611 0.341
Zn -7.052 -4.629 -1.650
Zn -5.129 -4.100 -5.547
Zn -2.425 -3.852 -5.244
Zn -6.790 -7.214 -1.872
Zn -4.920 -7.196 0.119
Zn -4.867 -6.685 -5.769
Zn -8.612 -8.118 -3.888
Cu -6.612 -3.040 -3.676
Cu -6.078 -8.319 -4.129
Cu -9.043 -6.090 -2.299
Cu -6.703 -5.446 -7.039
Sr -3.057 -0.178 -1.533
Sr -4.052 -5.546 -2.753
CELL_PARAMETERS angstrom
-6.115 -0.355 -3.066
-0.183 -4.813 -6.727
-4.863 -6.101 2.754
```

## Properties
space-group type: I4_1/amd (141)
calculated volume: 389 Å³ per cell


two | ## SrZn9Cu2 (PBE-GGA)

Data for an optimized crystal structure of SrZn9Cu2. Values from VASP.

Quantum ESPRESSO input file:
```
&SYSTEM
  ibrav = 0, nat = 12, ntyp = 3
/
ATOMIC_SPECIES
Zn 65.41 Zn.upf
Sr 87.62 Sr.upf
Cu 63.55 Cu.upf
ATOMIC_POSITIONS angstrom
Zn 0.000 4.058 0.000
Zn 0.000 -2.029 3.514
Zn 0.000 2.029 3.514
Zn 1.840 -1.612 5.616
Zn 1.840 4.058 4.204
Zn 1.840 2.446 1.412
Zn 1.840 5.669 1.412
Zn 1.840 1.612 5.616
Zn 1.840 0.000 2.824
Sr 0.000 0.000 0.000
Cu 0.000 4.058 2.343
Cu 0.000 0.000 4.685
CELL_PARAMETERS angstrom
3.679 0.000 0.000
0.000 8.115 0.000
0.000 -4.058 7.028
```

## Properties
space-group type: P6/mmm (191)
calculated volume: 210 Å³ per cell


Energies in eV/atom, measured from the most stable structure: one 0.000; two 0.114.


one | ## Sr3Zn4Cu2 (PBE-GGA)

Data for an optimized crystal structure of Sr3Zn4Cu2. Values from VASP.

Quantum ESPRESSO input file:
```
&SYSTEM
  ibrav = 0, nat = 18, ntyp = 3
/
ATOMIC_SPECIES
Zn 65.41 Zn.upf
Sr 87.62 Sr.upf
Cu 63.55 Cu.upf
ATOMIC_POSITIONS angstrom
Zn -8.035 1.110 1.764
Zn -16.677 0.028 2.248
Zn -12.642 -0.529 1.362
Zn -16.091 2.222 3.534
Zn -8.625 -1.084 0.480
Zn -0.594 -2.193 -1.284
Zn -20.711 0.585 3.134
Zn -0.014 0.002 0.003
Sr -10.132 -0.888 3.481
Sr -18.195 0.225 5.252
Sr -14.063 -0.346 4.344
Sr -2.152 -1.990 1.729
Sr -5.970 -1.463 2.567
Sr -22.127 0.768 6.115
Cu -4.609 -1.638 -0.402
Cu -12.056 1.665 2.648
Cu -4.024 0.556 0.884
Cu -20.127 2.779 4.420
CELL_PARAMETERS angstrom
-1.133 -2.106 -3.835
0.510 -2.371 3.814
-24.138 3.333 5.301
```

## Properties
space-group type: P-6m2 (187)
calculated volume: 441 Å³ per cell


two | ## Sr3Zn4Cu2 (PBE-GGA)

Data for an optimized crystal structure of Sr3Zn4Cu2. Values from VASP.

Quantum ESPRESSO input file:
```
&SYSTEM
  ibrav = 0, nat = 9, ntyp = 3
/
ATOMIC_SPECIES
Zn 65.41 Zn.upf
Cu 63.55 Cu.upf
Sr 87.62 Sr.upf
ATOMIC_POSITIONS angstrom
Zn 3.492 -1.151 7.074
Zn 1.574 -0.505 3.180
Zn -2.360 -1.603 1.696
Zn -0.442 -2.248 5.590
Cu -0.960 -0.482 3.512
Cu 2.091 -2.271 5.258
Sr 0.000 0.000 0.000
Sr 0.208 -3.384 2.563
Sr 0.924 0.630 6.207
CELL_PARAMETERS angstrom
-3.807 1.357 2.100
0.184 -6.010 -0.722
4.755 1.900 7.392
```

## Properties
space-group type: C2/m (12)
calculated volume: 218 Å³ per cell


Energies in eV/atom, measured from the most stable structure: one 0.000; two 0.017.


one | ## SrZrCu2 (PBE-GGA)

Data for an optimized crystal structure of SrZrCu2. Values from VASP.

Quantum ESPRESSO input file:
```
&SYSTEM
  ibrav = 0, nat = 4, ntyp = 3
/
ATOMIC_SPECIES
Cu 63.55 Cu.upf
Zr 91.22 Zr.upf
Sr 87.62 Sr.upf
ATOMIC_POSITIONS angstrom
Cu 0.450 -0.843 2.560
Cu 0.118 0.186 0.197
Zr 2.467 2.320 5.919
Sr 1.402 2.199 2.335
CELL_PARAMETERS angstrom
-2.265 -0.971 2.274
2.076 -2.422 1.034
3.084 4.836 5.136
```

## Properties
space-group type: P4mm (99)
calculated volume: 87 Å³ per cell


two | ## SrZrCu2 (PBE-GGA)

Data for an optimized crystal structure of SrZrCu2. Values from VASP.

Quantum ESPRESSO input file:
```
&SYSTEM
  ibrav = 0, nat = 4, ntyp = 3
/
ATOMIC_SPECIES
Sr 87.62 Sr.upf
Cu 63.55 Cu.upf
Zr 91.22 Zr.upf
ATOMIC_POSITIONS angstrom
Sr -3.494 -3.087 -2.903
Cu -2.685 0.261 -2.848
Cu -6.584 -5.818 -5.471
Zr -2.623 -1.069 -0.160
CELL_PARAMETERS angstrom
-2.990 -1.258 -5.122
-3.773 -4.719 -0.498
1.522 5.227 2.667
```

## Properties
space-group type: Imm2 (44)
calculated volume: 82 Å³ per cell


three | ## SrZrCu2 (PBE-GGA)

Data for an optimized crystal structure of SrZrCu2. Values from VASP.

Quantum ESPRESSO input file:
```
&SYSTEM
  ibrav = 0, nat = 4, ntyp = 3
/
ATOMIC_SPECIES
Cu 63.55 Cu.upf
Zr 91.22 Zr.upf
Sr 87.62 Sr.upf
ATOMIC_POSITIONS angstrom
Cu 0.000 0.000 0.000
Cu -1.768 -2.194 1.644
Zr -3.043 0.349 1.122
Sr -4.538 -2.291 -0.078
CELL_PARAMETERS angstrom
-5.813 0.251 -0.599
-3.263 -4.834 0.444
4.264 2.738 2.922
```

## Properties
space-group type: I-4m2 (119)
calculated volume: 85 Å³ per cell


Energies in eV/atom, measured from the most stable structure: one 0.000; two 0.075; three 0.232.